# 1
A plane-wave DFT calculation with GGA-PBE was carried out for a geometry-optimized B2Cl13 structure.

Cell: 5.9796 9.8052 12.5684 Å, 127.90 96.31 75.83°
With the nearest neighbours (Å) after each atom.
Fractional positions:
B (0.8767, 0.8203, 0.5469)  3 Cl 1.74-1.75
B (0.1233, 0.1797, 0.4531)  3 Cl 1.74-1.75
Cl (0.6538, 0.5215, 0.0389)  1 Cl 2.00
Cl (0.3462, 0.4785, 0.9611)  1 Cl 2.00
Cl (0.0000, 0.0000, 0.0000)  2 Cl 2.55
Cl (0.1729, 0.8036, 0.5646)  1 B 1.74
Cl (0.8271, 0.1964, 0.4354)  1 B 1.74
Cl (0.7350, 0.6901, 0.8095)  1 Cl 2.05
Cl (0.2650, 0.3099, 0.1905)  1 Cl 2.05
Cl (0.7736, 0.6373, 0.4109)  1 B 1.75
Cl (0.2264, 0.3627, 0.5891)  1 B 1.75
Cl (0.4045, 0.8228, 0.8918)  1 Cl 2.05
Cl (0.5955, 0.1772, 0.1082)  1 Cl 2.05
Cl (0.6833, 0.0184, 0.6633)  1 B 1.74
Cl (0.3167, 0.9816, 0.3367)  1 B 1.74

Properties
Energy relative to the elements, uncorrected in eV per formula unit: -6.9
E in eV per atom: -2.9521
Total moment in μB/f.u.: 0.00


# 2
A plane-wave DFT calculation with GGA-PBE was carried out for a geometry-optimized CoPbC2I structure.

Cell: 4.3111 7.4925 4.3111 Å, 90.00 90.00 90.00°
With the nearest neighbours (Å) after each atom.
Fractional positions:
Pb (0.0000, 0.0000, 0.0000)  4 C 2.16
I (0.0000, 0.5000, 0.0000)  4 Co 3.05
C (0.0000, 0.0000, 0.5000)  2 Pb 2.16
C (0.5000, 0.0000, 0.0000)  2 Pb 2.16
Co (0.5000, 0.5000, 0.5000)  4 I 3.05

Properties
Energy relative to the elements, uncorrected in eV per formula unit: 14.0
E in eV per atom: -3.3716
Total moment in μB/f.u.: 2.16


# 3
A plane-wave DFT calculation with GGA-PBE was carried out for a geometry-optimized MgMnTe2 structure.

Cell: 6.2544 6.2544 7.4238 Å, 65.09 65.09 90.00°
With the nearest neighbours (Å) after each atom.
Fractional positions:
Mg (0.5000, 0.5000, 0.0000)  4 Te 2.83
Mg (0.2500, 0.7500, 0.5000)  4 Te 2.83
Te (0.6685, 0.1250, 0.2500)  2 Mn 2.52
Te (0.0815, 0.6250, 0.2500)  2 Mn 2.52
Te (0.3750, 0.3315, 0.7500)  2 Mn 2.52
Te (0.8750, 0.9185, 0.7500)  2 Mn 2.52
Mn (0.0000, 0.0000, 0.0000)  4 Te 2.52
Mn (0.7500, 0.2500, 0.5000)  4 Te 2.52

Properties
Energy relative to the elements, uncorrected in eV per formula unit: 0.1
E in eV per atom: -4.2303
Total moment in μB/f.u.: 0.15


# 4
A plane-wave DFT calculation with GGA-PBE was carried out for a geometry-optimized SrCd6Ag6 structure.

Cell: 5.6321 7.5955 7.5955 Å, 81.12 68.24 68.24°
With the nearest neighbours (Å) after each atom.
Fractional positions:
Sr (0.0000, 0.0000, 0.0000)  8 Cd 3.44-3.54, 12 Ag 3.57-3.80
Cd (0.3516, 0.6484, 0.6484)  3 Cd 2.99-3.19, 6 Ag 3.02-3.12
Cd (0.6484, 0.3516, 0.3516)  3 Cd 2.99-3.19, 6 Ag 3.02-3.12
Cd (0.0000, 0.3486, 0.6514)  1 Cd 2.99, 6 Ag 3.05-3.08
Cd (0.0000, 0.6514, 0.3486)  1 Cd 2.99, 6 Ag 3.05-3.08
Cd (0.2979, 0.2021, 0.2021)  6 Ag 2.88-3.00, 2 Cd 3.19
Cd (0.7021, 0.7979, 0.7979)  6 Ag 2.88-3.00, 2 Cd 3.19
Ag (0.0000, 0.5000, 0.0000)  4 Ag 2.82-2.90, 6 Cd 2.88-3.05
Ag (0.5000, 0.5000, 0.0000)  4 Ag 2.82-2.90, 6 Cd 2.88-3.05
Ag (0.0000, 0.0000, 0.5000)  4 Ag 2.82-2.90, 6 Cd 2.88-3.05
Ag (0.5000, 0.0000, 0.5000)  4 Ag 2.82-2.90, 6 Cd 2.88-3.05
Ag (0.5000, 0.7773, 0.2227)  4 Ag 2.90, 6 Cd 3.00-3.12
Ag (0.5000, 0.2227, 0.7773)  4 Ag 2.90, 6 Cd 3.00-3.12

Properties
Energy of formation in eV/atom: -0.140
E in eV per atom: -2.0075
Total moment in μB/f.u.: 0.00


# 5
A plane-wave DFT calculation with GGA-PBE was carried out for a geometry-optimized Hf2CF structure.

Cell: 5.1288 5.1288 6.1904 Å, 65.53 65.53 90.00°
With the nearest neighbours (Å) after each atom.
Fractional positions:
C (0.5000, 0.5000, 0.0000)  4 Hf 2.11
C (0.2500, 0.7500, 0.5000)  4 Hf 2.11
Hf (0.5915, 0.1250, 0.2500)  2 C 2.11, 2 F 2.31
Hf (0.1585, 0.6250, 0.2500)  2 C 2.11, 2 F 2.31
Hf (0.3750, 0.4085, 0.7500)  2 C 2.11, 2 F 2.31
Hf (0.8750, 0.8415, 0.7500)  2 C 2.11, 2 F 2.31
F (0.0000, 0.0000, 0.0000)  4 Hf 2.31
F (0.7500, 0.2500, 0.5000)  4 Hf 2.31

Properties
Energy relative to the elements, uncorrected in eV per formula unit: -3.7
E in eV per atom: -8.6767
Total moment in μB/f.u.: 0.00
Relative energy among the computed polymorphs in eV per atom: 0.000


# 6
A plane-wave DFT calculation with GGA-PBE was carried out for a geometry-optimized CaZnCdPb2 structure.

Cell: 5.4099 5.5440 5.4099 Å, 90.00 90.00 90.00°
With the nearest neighbours (Å) after each atom.
Fractional positions:
Pb (0.0000, 0.0000, 0.5000)  2 Zn 2.70
Pb (0.5000, 0.0000, 0.0000)  2 Zn 2.70
Zn (0.0000, 0.0000, 0.0000)  4 Pb 2.70, 2 Ca 2.77
Ca (0.0000, 0.5000, 0.0000)  2 Zn 2.77
Cd (0.5000, 0.5000, 0.5000)  4 Ca 3.83, 8 Pb 3.87

Properties
Energy of formation in eV/atom: 0.149
E in eV per atom: -2.1726
Total moment in μB/f.u.: 0.00


# 7
A plane-wave DFT calculation with GGA-PBE was carried out for a geometry-optimized GdBiF structure.

Cell: 4.9991 4.0313 4.0313 Å, 120.00 90.00 90.00°
With the nearest neighbours (Å) after each atom.
Fractional positions:
Gd (0.1665, 0.0000, 0.0000)  3 F 2.33
Bi (0.6666, 0.6667, 0.3333)  6 F 3.41-3.42, 6 Gd 3.41-3.42
F (0.1669, 0.3333, 0.6667)  3 Gd 2.33

Properties
Energy relative to the elements, uncorrected in eV per formula unit: -6.1
E in eV per atom: -8.6365
Total moment in μB/f.u.: 6.89
Relative energy among the computed polymorphs in eV per atom: 0.000


# 8
A plane-wave DFT calculation with GGA-PBE was carried out for a geometry-optimized SrTl2W structure.

Cell: 5.2670 5.2670 5.2670 Å, 60.00 60.00 60.00°
With the nearest neighbours (Å) after each atom.
Fractional positions:
Sr (0.0000, 0.0000, 0.0000)  8 Tl 3.23
Tl (0.2500, 0.2500, 0.2500)  4 W 3.23, 4 Sr 3.23
Tl (0.7500, 0.7500, 0.7500)  4 W 3.23, 4 Sr 3.23
W (0.5000, 0.5000, 0.5000)  8 Tl 3.23

Properties
Energy of formation in eV/atom: 0.744
E in eV per atom: -4.0981
Total moment in μB/f.u.: 3.27
Relative energy among the computed polymorphs in eV per atom: 0.136


# 9
A plane-wave DFT calculation with GGA-PBE was carried out for a geometry-optimized KGa2AgAu4 structure.

Cell: 4.4547 4.4547 10.8800 Å, 78.19 78.19 60.00°
With the nearest neighbours (Å) after each atom.
Fractional positions:
K (0.0000, 0.0000, 0.0000)  6 Au 3.53, 6 Ga 3.82
Ga (0.7556, 0.7556, 0.7333)  6 Au 2.60-2.83
Ga (0.2444, 0.2444, 0.2667)  6 Au 2.60-2.83
Ag (0.5000, 0.5000, 0.5000)  8 Au 2.87
Au (0.4094, 0.4094, 0.7717)  3 Ga 2.60, 1 Ag 2.87
Au (0.8736, 0.8736, 0.3792)  3 Ga 2.83, 3 Ag 2.87, 3 Au 3.03
Au (0.1264, 0.1264, 0.6208)  3 Ga 2.83, 3 Ag 2.87, 3 Au 3.03
Au (0.5906, 0.5906, 0.2283)  3 Ga 2.60, 1 Ag 2.87

Properties
Energy of formation in eV/atom: -0.123
E in eV per atom: -3.0121
Total moment in μB/f.u.: 0.00


# 10
A plane-wave DFT calculation with GGA-PBE was carried out for a geometry-optimized Pm2Cd3Si2 structure.

Cell: 4.1814 3.8429 10.4684 Å, 100.58 90.00 90.00°
With the nearest neighbours (Å) after each atom.
Fractional positions:
Pm (0.0000, 0.8300, 0.6600)  6 Si 2.99-3.15
Pm (0.0000, 0.1700, 0.3400)  6 Si 2.99-3.15
Cd (0.5000, 0.5727, 0.1454)  1 Si 2.94, 5 Cd 2.99-3.21
Cd (0.5000, 0.4273, 0.8546)  1 Si 2.94, 5 Cd 2.99-3.21
Cd (0.0000, 0.0000, 0.0000)  8 Cd 3.21, 2 Pm 3.50
Si (0.5000, 0.7158, 0.4315)  2 Si 2.38
Si (0.5000, 0.2842, 0.5685)  2 Si 2.38

Properties
Energy relative to the elements, uncorrected in eV per formula unit: -3.1
E in eV per atom: -3.7436
Total moment in μB/f.u.: 0.00